This record from the Alexandria database describes a geometry-optimized Sr2LiEr structure. The functional is PBE.

Cell lengths 3.7497, 3.7497, 38.7343 Å; angles 90.00, 90.00, 120.00 degrees
Last column: nearest neighbours and their distance in Å.
Positions (direct):
1 Sr 0.0000 0.0000 0.0905  1 Er 3.50, 3 Li 3.66, 6 Sr 3.75
2 Sr 0.0000 0.0000 0.9095  1 Er 3.50, 3 Li 3.66, 6 Sr 3.75
3 Sr 0.3333 0.6667 0.5762  1 Er 3.50, 3 Li 3.66, 6 Sr 3.75
4 Sr 0.3333 0.6667 0.7571  1 Er 3.50, 3 Li 3.66, 6 Sr 3.75
5 Sr 0.6667 0.3333 0.2429  1 Er 3.50, 3 Li 3.66, 6 Sr 3.75
6 Sr 0.6667 0.3333 0.4238  1 Er 3.50, 3 Li 3.66, 6 Sr 3.75
7 Li 0.0000 0.0000 0.5000  6 Sr 3.66, 6 Li 3.75
8 Li 0.3333 0.6667 0.1667  6 Sr 3.66, 6 Li 3.75
9 Li 0.6667 0.3333 0.8333  6 Sr 3.66, 6 Li 3.75
10 Er 0.0000 0.0000 0.0000  2 Sr 3.50, 6 Er 3.75
11 Er 0.3333 0.6667 0.6667  2 Sr 3.50, 6 Er 3.75
12 Er 0.6667 0.3333 0.3333  2 Sr 3.50, 6 Er 3.75

Computed properties:
- Magnetic moment: 0.47 μB per formula unit
- Energy relative to the lowest polymorph listed for this composition: 196 meV/atom
- E: -2.091 eV/atom
- SG: R-3m (166)
- D(E_F): 1.05 states/eV/atom